1.
Material: Er3Si6Ni2Au
Method: DFT, GGA-PBE
State: relaxed

Summary:
For the raw total energy, the calculation gives -5.36 eV per atom. The calculation puts the energy relative to the elements, uncorrected at -269 meV/atom.

abc: 5.5658 5.5658 8.1798
angles: 90.00 90.00 120.00
Space group P-3m1 (No. 164)
Symmetry-distinct sites (fractional):
1 Er 0.0000 0.0000 0.0000 [1 per cell]
2 Er 0.3333 0.6667 0.5951 [2 per cell]
3 Si 0.1876 0.3753 0.2663 [6 per cell]
4 Ni 0.3333 0.6667 0.0371 [2 per cell]
5 Au 0.0000 0.0000 0.5000 [1 per cell]

2.
Material: ErNiSnAu
Method: DFT, GGA-PBE
State: relaxed

Summary:
The value obtained for the formation energy is -508 meV per atom. For the raw total energy, the calculation gives -4.91 eV per atom.

abc: 6.749 6.749 6.749
angles: 90.00 90.00 90.00
Space group F-43m (No. 216)
Symmetry-distinct sites (fractional):
1 Er 0.000 0.000 0.000 [4 per cell]
2 Ni 0.250 0.250 0.750 [4 per cell]
3 Sn 0.000 0.000 0.500 [4 per cell]
4 Au 0.250 0.250 0.250 [4 per cell]

Per-record density, g cm⁻³: 7.45 11.70
Per-record total moment, μB per formula unit: 0.00 0.00